(1)
Entry from the Alexandria database: crystalline LiAsH2 at its relaxed geometry (PBE-GGA).

Structure (CIF):
```
data_LiAsH2
_chemical_formula_sum 'Li3 As3 H6'
_cell_length_a 2.9371
_cell_length_b 2.9371
_cell_length_c 17.3625
_cell_angle_alpha 90.00
_cell_angle_beta 90.00
_cell_angle_gamma 120.00
_space_group_name_H-M_alt 'P 1'
_space_group_IT_number 1
loop_
_space_group_symop_operation_xyz
'x,y,z'
loop_
_atom_site_label
_atom_site_type_symbol
_atom_site_fract_x
_atom_site_fract_y
_atom_site_fract_z
Li1 Li 0.0000 0.0000 0.0000
Li2 Li 0.3333 0.6667 0.6667
Li3 Li 0.6667 0.3333 0.3333
As1 As 0.0000 0.0000 0.5000
As2 As 0.3333 0.6667 0.1667
As3 As 0.6667 0.3333 0.8333
H1 H 0.0000 0.0000 0.3908
H2 H 0.0000 0.0000 0.6092
H3 H 0.3333 0.6667 0.0574
H4 H 0.3333 0.6667 0.2759
H5 H 0.6667 0.3333 0.7241
H6 H 0.6667 0.3333 0.9426
```

Properties
- VASP energy: -3.2554 eV per atom
- Symmetry: R-3m, No. 166
- Fermi-level density of states: 1.39 states/eV per cell
- Crystal system: trigonal
- Calculated volume: 10.8 Å³ per atom
- E above lowest polymorph: 0.000 eV/atom
- Magnetic moment: 0.0 Bohr magnetons per cell

---

(2)
Entry from the Alexandria database: crystalline Li4As2H at its relaxed geometry (PBE-GGA).

Structure (CIF):
```
data_Li4As2H
_chemical_formula_sum 'Li8 As4 H2'
_cell_length_a 4.4296
_cell_length_b 4.4296
_cell_length_c 11.5160
_cell_angle_alpha 90.00
_cell_angle_beta 90.00
_cell_angle_gamma 90.00
_space_group_name_H-M_alt 'P 1'
_space_group_IT_number 1
loop_
_space_group_symop_operation_xyz
'x,y,z'
loop_
_atom_site_label
_atom_site_type_symbol
_atom_site_fract_x
_atom_site_fract_y
_atom_site_fract_z
Li1 Li 0.0000 0.0000 0.1593
Li2 Li 0.0000 0.0000 0.8407
Li3 Li 0.0000 0.5000 0.0000
Li4 Li 0.0000 0.5000 0.5000
Li5 Li 0.5000 0.0000 0.0000
Li6 Li 0.5000 0.0000 0.5000
Li7 Li 0.5000 0.5000 0.3407
Li8 Li 0.5000 0.5000 0.6593
As1 As 0.0000 0.0000 0.3922
As2 As 0.0000 0.0000 0.6078
As3 As 0.5000 0.5000 0.1078
As4 As 0.5000 0.5000 0.8922
H1 H 0.0000 0.0000 0.0000
H2 H 0.5000 0.5000 0.5000
```

Properties
- VASP energy: -3.2951 eV per atom
- Symmetry: I4/mmm, No. 139
- Fermi-level density of states: 5.12 states/eV per cell
- Crystal system: tetragonal
- Calculated volume: 16.1 Å³ per atom
- E above lowest polymorph: 0.000 eV/atom
- Magnetic moment: 0.0 Bohr magnetons per cell

---

(3)
Entry from the Alexandria database: crystalline Li2As2H at its relaxed geometry (PBE-GGA).

Structure (CIF):
```
data_Li2As2H
_chemical_formula_sum 'Li4 As4 H2'
_cell_length_a 6.5102
_cell_length_b 6.5102
_cell_length_c 3.9670
_cell_angle_alpha 90.00
_cell_angle_beta 90.00
_cell_angle_gamma 90.00
_space_group_name_H-M_alt 'P 1'
_space_group_IT_number 1
loop_
_space_group_symop_operation_xyz
'x,y,z'
loop_
_atom_site_label
_atom_site_type_symbol
_atom_site_fract_x
_atom_site_fract_y
_atom_site_fract_z
Li1 Li 0.1825 0.3175 0.0000
Li2 Li 0.3175 0.8175 0.0000
Li3 Li 0.6825 0.1825 0.0000
Li4 Li 0.8175 0.6825 0.0000
As1 As 0.1225 0.6225 0.5000
As2 As 0.3775 0.1225 0.5000
As3 As 0.6225 0.8775 0.5000
As4 As 0.8775 0.3775 0.5000
H1 H 0.0000 0.0000 0.0000
H2 H 0.5000 0.5000 0.0000
```

Properties
- VASP energy: -3.3088 eV per atom
- Symmetry: P4/mbm, No. 127
- Fermi-level density of states: 3.48 states/eV per cell
- Crystal system: tetragonal
- Calculated volume: 16.8 Å³ per atom
- E above lowest polymorph: 0.000 eV/atom
- Magnetic moment: 0.0 Bohr magnetons per cell